# 1
This record from Alexandria describes a relaxed structure of CdHN2F. The functional is PBE-GGA.

## Properties
The calculation puts the total energy at -17.69 eV per cell. As for the space group: P4/mmm (123).

Unit cell a=3.155 b=3.155 c=4.740 alpha=90.00 beta=90.00 gamma=90.00
Site moments in Bohr magnetons follow the coordinates.
Positions (direct):
H1 0.000 0.000 0.000  0.00
N1 0.000 0.500 0.000  0.12
N2 0.500 0.000 0.000  0.12
F1 0.000 0.000 0.500  0.00
Cd1 0.500 0.500 0.500  0.00



# 2
This record from Alexandria describes a relaxed structure of CdH6N2F. The functional is PBE-GGA.

## Properties
The calculation puts the total energy at -90.64 eV per cell. As for the space group: C2/c (15).

Unit cell a=6.508 b=6.508 c=4.592 alpha=90.21 beta=90.21 gamma=85.63
Positions (direct):
Cd1 0.110 0.890 0.250
Cd2 0.890 0.110 0.750
H1 0.036 0.436 0.250
H2 0.564 0.964 0.250
H3 0.964 0.564 0.750
H4 0.436 0.036 0.750
H5 0.242 0.513 0.066
H6 0.487 0.758 0.434
H7 0.758 0.487 0.934
H8 0.513 0.242 0.566
H9 0.242 0.515 0.436
H10 0.485 0.758 0.064
H11 0.758 0.485 0.564
H12 0.515 0.242 0.936
N1 0.533 0.152 0.750
N2 0.848 0.467 0.750
N3 0.467 0.848 0.250
N4 0.152 0.533 0.250
F1 0.649 0.351 0.250
F2 0.351 0.649 0.750



# 3
This record from Alexandria describes a relaxed structure of CdH2NF. The functional is PBE-GGA.

## Properties
The calculation puts the total energy at -40.83 eV per cell. As for the space group: Cmcm (63).

Unit cell a=3.262 b=4.771 c=6.867 alpha=90.00 beta=90.00 gamma=109.99
Positions (direct):
Cd1 0.430 0.860 0.750
Cd2 0.570 0.140 0.250
H1 0.104 0.209 0.945
H2 0.896 0.791 0.055
H3 0.104 0.209 0.555
H4 0.896 0.791 0.445
N1 0.000 0.000 0.000
N2 0.000 0.000 0.500
F1 0.728 0.456 0.750
F2 0.272 0.544 0.250



# 4
This record from Alexandria describes a relaxed structure of CdHN2F. The functional is PBE-GGA.

## Properties
The calculation puts the total energy at -14.62 eV per cell. As for the space group: P4/mmm (123).

Unit cell a=4.520 b=4.520 c=4.487 alpha=90.00 beta=90.00 gamma=90.00
Site moments in Bohr magnetons follow the coordinates.
Positions (direct):
H1 0.500 0.500 0.500  0.39
N1 0.000 0.500 0.000  1.43
N2 0.500 0.000 0.000  1.43
F1 0.000 0.000 0.500  0.13
Cd1 0.000 0.000 0.000  0.07



# 5
This record from Alexandria describes a relaxed structure of CdHO2F. The functional is PBE-GGA.

## Properties
The calculation puts the total energy at -13.96 eV per cell. As for the space group: P4/mmm (123).

Unit cell a=4.429 b=4.429 c=4.329 alpha=90.00 beta=90.00 gamma=90.00
Site moments in Bohr magnetons follow the coordinates.
Positions (direct):
H1 0.500 0.500 0.500  -0.31
F1 0.000 0.000 0.500  0.11
O1 0.000 0.500 0.000  1.03
O2 0.500 0.000 0.000  1.03
Cd1 0.000 0.000 0.000  0.12



# 6
This record from Alexandria describes a relaxed structure of CdHO2F. The functional is PBE-GGA.

## Properties
The calculation puts the total energy at -17.09 eV per cell. As for the space group: P4/mmm (123).

Unit cell a=3.211 b=3.211 c=4.466 alpha=90.00 beta=90.00 gamma=90.00
Site moments in Bohr magnetons follow the coordinates.
Positions (direct):
H1 0.000 0.000 0.000  0.00
Cd1 0.500 0.500 0.500  0.00
O1 0.000 0.500 0.000  0.11
O2 0.500 0.000 0.000  0.11
F1 0.000 0.000 0.500  0.00